No. 1
ZrHgTe2 after structural relaxation, computed with PBE.

Values from the calculation:
ΔE_f (raw) (meV/atom): -116

Structure (CIF):
```
data_ZrHgTe2
_symmetry_space_group_name_H-M 'I -4 m 2'
_symmetry_Int_Tables_number 119
_symmetry_space_group_name_Hall 'I -4 -2'
_cell_length_a 4.3809
_cell_length_b 4.3809
_cell_length_c 10.4892
_cell_angle_alpha 90.00
_cell_angle_beta 90.00
_cell_angle_gamma 90.00
loop_
_atom_site_label
_atom_site_type_symbol
_atom_site_fract_x
_atom_site_fract_y
_atom_site_fract_z
Zr1 Zr 0.0000 0.0000 0.0000
Hg1 Hg 0.0000 0.5000 0.7500
Te1 Te 0.0000 0.0000 0.5000
Te2 Te 0.0000 0.5000 0.2500
```

=====

No. 2
ZrHgTe2 after structural relaxation, computed with PBE.

Values from the calculation:
ΔE_f (raw) (meV/atom): -497

Structure (CIF):
```
data_ZrHgTe2
_symmetry_space_group_name_H-M 'P n m a'
_symmetry_Int_Tables_number 62
_symmetry_space_group_name_Hall '-P 2ac 2n'
_cell_length_a 6.7739
_cell_length_b 4.2615
_cell_length_c 16.2306
_cell_angle_alpha 90.00
_cell_angle_beta 90.00
_cell_angle_gamma 90.00
loop_
_atom_site_label
_atom_site_type_symbol
_atom_site_fract_x
_atom_site_fract_y
_atom_site_fract_z
Zr1 Zr 0.0297 0.2500 0.1191
Hg1 Hg 0.2182 0.7500 0.3501
Te1 Te 0.0721 0.7500 0.7049
Te2 Te 0.2312 0.7500 0.0286
```

=====

No. 3
ZrHgTe2 after structural relaxation, computed with PBE.

Values from the calculation:
ΔE_f (raw) (meV/atom): -648

Structure (CIF):
```
data_ZrHgTe2
_symmetry_space_group_name_H-M 'C 1 m 1'
_symmetry_Int_Tables_number 8
_symmetry_space_group_name_Hall 'C -2y'
_cell_length_a 6.8254
_cell_length_b 3.9424
_cell_length_c 10.2235
_cell_angle_alpha 90.00
_cell_angle_beta 102.92
_cell_angle_gamma 90.00
loop_
_atom_site_label
_atom_site_type_symbol
_atom_site_fract_x
_atom_site_fract_y
_atom_site_fract_z
Zr1 Zr 0.0000 0.0000 0.0000
Hg1 Hg 0.1684 0.0000 0.5102
Te1 Te 0.1053 0.5000 0.8171
Te2 Te 0.3949 0.0000 0.1836
```

=====

No. 4
ZrHg2Te after structural relaxation, computed with PBE.

Values from the calculation:
ΔE_f (raw) (meV/atom): -20

Structure (CIF):
```
data_ZrHg2Te
_symmetry_space_group_name_H-M 'I -4 2 d'
_symmetry_Int_Tables_number 122
_symmetry_space_group_name_Hall 'I -4 2bw'
_cell_length_a 8.4217
_cell_length_b 8.4217
_cell_length_c 5.8579
_cell_angle_alpha 90.00
_cell_angle_beta 90.00
_cell_angle_gamma 90.00
loop_
_atom_site_label
_atom_site_type_symbol
_atom_site_fract_x
_atom_site_fract_y
_atom_site_fract_z
Zr1 Zr 0.0000 0.0000 0.0000
Hg1 Hg 0.2335 0.2500 0.1250
Te1 Te 0.0000 0.0000 0.5000
```

=====

No. 5
ZrHgTe2 after structural relaxation, computed with PBE.

Values from the calculation:
ΔE_f (raw) (meV/atom): -477

Structure (CIF):
```
data_ZrHgTe2
_symmetry_space_group_name_H-M 'P 1 2/m 1'
_symmetry_Int_Tables_number 10
_symmetry_space_group_name_Hall '-P 2y'
_cell_length_a 3.6895
_cell_length_b 3.6834
_cell_length_c 7.7172
_cell_angle_alpha 90.00
_cell_angle_beta 90.63
_cell_angle_gamma 90.00
loop_
_atom_site_label
_atom_site_type_symbol
_atom_site_fract_x
_atom_site_fract_y
_atom_site_fract_z
Zr1 Zr 0.0000 0.0000 0.0000
Hg1 Hg 0.0000 0.0000 0.5000
Te1 Te 0.4980 0.5000 0.7877
```

=====

No. 6
Zr2HgTe after structural relaxation, computed with PBE.

Values from the calculation:
ΔE_f (raw) (meV/atom): 196
Energy above the most stable polymorph in this dataset (eV per atom): 0.553

Structure (CIF):
```
data_Zr2HgTe
_symmetry_space_group_name_H-M 'F -4 3 m'
_symmetry_Int_Tables_number 216
_symmetry_space_group_name_Hall 'F -4 2 3'
_cell_length_a 7.2723
_cell_length_b 7.2723
_cell_length_c 7.2723
_cell_angle_alpha 90.00
_cell_angle_beta 90.00
_cell_angle_gamma 90.00
loop_
_atom_site_label
_atom_site_type_symbol
_atom_site_fract_x
_atom_site_fract_y
_atom_site_fract_z
Zr1 Zr 0.0000 0.0000 0.0000
Zr2 Zr 0.2500 0.2500 0.2500
Hg1 Hg 0.0000 0.0000 0.5000
Te1 Te 0.2500 0.2500 0.7500
```

=====

No. 7
Zr2HgTe after structural relaxation, computed with PBE.

Values from the calculation:
ΔE_f (raw) (meV/atom): -270
Energy above the most stable polymorph in this dataset (eV per atom): 0.087

Structure (CIF):
```
data_Zr2HgTe
_symmetry_space_group_name_H-M 'R -3 m'
_symmetry_Int_Tables_number 166
_symmetry_space_group_name_Hall '-R 3 2"'
_cell_length_a 3.6052
_cell_length_b 3.6052
_cell_length_c 25.7072
_cell_angle_alpha 90.00
_cell_angle_beta 90.00
_cell_angle_gamma 120.00
loop_
_atom_site_label
_atom_site_type_symbol
_atom_site_fract_x
_atom_site_fract_y
_atom_site_fract_z
Zr1 Zr 0.0000 0.0000 0.2477
Hg1 Hg 0.0000 0.0000 0.0000
Te1 Te 0.0000 0.0000 0.5000
```

=====

No. 8
Zr2HgTe after structural relaxation, computed with PBE.

Values from the calculation:
ΔE_f (raw) (meV/atom): -182
Energy above the most stable polymorph in this dataset (eV per atom): 0.175

Structure (CIF):
```
data_Zr2HgTe
_symmetry_space_group_name_H-M 'R 3 m'
_symmetry_Int_Tables_number 160
_symmetry_space_group_name_Hall 'R 3 -2"'
_cell_length_a 3.5738
_cell_length_b 3.5738
_cell_length_c 27.9270
_cell_angle_alpha 90.00
_cell_angle_beta 90.00
_cell_angle_gamma 120.00
loop_
_atom_site_label
_atom_site_type_symbol
_atom_site_fract_x
_atom_site_fract_y
_atom_site_fract_z
Zr1 Zr 0.0000 0.0000 0.0000
Zr2 Zr 0.0000 0.0000 0.2496
Hg1 Hg 0.0000 0.0000 0.5011
Te1 Te 0.0000 0.0000 0.7392
```

=====

The lowest ΔE_f (raw) belongs to which entry?
number 3